1.
DFT (PBE) results for a relaxed Mg2CdAg5Hg crystal.

The structure in POSCAR format:
```
Mg2CdAg5Hg
1.0
-1.8444 -5.8620 5.4396
7.4620 0.7459 3.3340
-4.7857 6.4731 -0.8381
Mg Ag Hg Cd
4 10 2 2
direct
0.6144 0.1144 0.0000 Mg
0.8856 0.6144 0.0000 Mg
0.1144 0.3856 0.0000 Mg
0.3856 0.8856 0.0000 Mg
0.0737 0.5737 0.7426 Ag
0.4263 0.3310 0.2574 Ag
0.1690 0.0737 0.7426 Ag
0.5000 0.5000 0.0000 Ag
0.9263 0.4263 0.2574 Ag
0.6690 0.1690 0.7426 Ag
0.5737 0.6690 0.7426 Ag
0.0000 0.0000 0.0000 Ag
0.3310 0.8310 0.2574 Ag
0.8310 0.9263 0.2574 Ag
0.7500 0.2500 0.5000 Hg
0.2500 0.7500 0.5000 Hg
0.7500 0.7500 0.5000 Cd
0.2500 0.2500 0.5000 Cd
```

## Properties
**Formation energy**: 0.11 eV/atom
**Calculated volume**: 380.0 Å³/cell

=====

2.
DFT (PBE) results for a relaxed K4LaO2 crystal.

The structure in POSCAR format:
```
K4LaO2
1.0
6.5174 0.0000 0.0000
0.0000 6.5174 0.0000
3.2587 3.2587 7.3850
K La O
4 1 2
direct
0.0000 0.5000 0.0000 K
0.2906 0.2906 0.4188 K
0.7094 0.7094 0.5812 K
0.5000 0.0000 0.0000 K
0.0000 0.0000 0.0000 La
0.5483 0.5483 0.9033 O
0.4517 0.4517 0.0967 O
```

## Properties
**ΔE_f (raw)**: 0.176 eV per atom
**Calculated volume**: 313.7 Å³/cell

=====

Q: The lowest calculated volume belongs to which entry?
A: K4LaO2

=====

Q: The lowest calculated volume belongs to which entry?
A: K4LaO2